# Pm3YTl3Se8

An optimized crystal structure of Pm3YTl3Se8 (PBE-GGA, Alexandria).

magnetic moment = 0.00 μB/atom
space group = R-3m
uncorrected formation energy = -1.3871 eV per atom
V = 477.8 Å³ per cell

Unit cell a=9.061 b=9.061 c=9.061 alpha=56.04 beta=56.04 gamma=56.04
Atoms (fractional coordinates):
1 Pm 0.000 0.500 0.500
2 Pm 0.500 0.000 0.500
3 Pm 0.500 0.500 0.000
4 Y 0.000 0.000 0.000
5 Tl 0.000 0.000 0.500
6 Tl 0.000 0.500 0.000
7 Tl 0.500 0.000 0.000
8 Se 0.234 0.234 0.743
9 Se 0.234 0.743 0.234
10 Se 0.257 0.766 0.766
11 Se 0.262 0.262 0.262
12 Se 0.738 0.738 0.738
13 Se 0.743 0.234 0.234
14 Se 0.766 0.257 0.766
15 Se 0.766 0.766 0.257

# AcLaRh4

An optimized crystal structure of AcLaRh4 (PBE-GGA, Alexandria).

magnetic moment = 0.00 μB/atom
space group = F-43m
V = 117.5 Å³ per cell
E_form = -0.636 eV per atom

Unit cell a=5.498 b=5.498 c=5.498 alpha=60.00 beta=60.00 gamma=60.00
Atoms (fractional coordinates):
1 Ac 0.000 0.000 0.000
2 La 0.250 0.250 0.250
3 Rh 0.126 0.625 0.625
4 Rh 0.625 0.126 0.625
5 Rh 0.625 0.625 0.126
6 Rh 0.625 0.625 0.625

# La3CdHg3

An optimized crystal structure of La3CdHg3 (PBE-GGA, Alexandria).

magnetic moment = 0.15 μB/atom
space group = C2/m
V = 429.6 Å³ per cell
E_form = -0.316 eV per atom

Unit cell a=7.501 b=7.501 c=7.635 alpha=90.00 beta=90.00 gamma=91.08
Atoms (fractional coordinates):
1 La 0.000 0.000 0.250
2 La 0.000 0.000 0.750
3 La 0.001 0.500 0.250
4 La 0.500 0.001 0.250
5 La 0.500 0.999 0.750
6 La 0.999 0.500 0.750
7 Cd 0.338 0.338 0.999
8 Cd 0.662 0.662 0.001
9 Hg 0.259 0.741 0.000
10 Hg 0.270 0.730 0.500
11 Hg 0.298 0.298 0.501
12 Hg 0.702 0.702 0.499
13 Hg 0.730 0.270 0.500
14 Hg 0.741 0.259 0.000

# LiTl5In2

An optimized crystal structure of LiTl5In2 (PBE-GGA, Alexandria).

magnetic moment = 0.00 μB/atom
space group = I4/mcm
V = 461.1 Å³ per cell
E_form = -0.005 eV per atom

Unit cell a=8.736 b=8.736 c=8.736 alpha=121.40 beta=121.40 gamma=87.60
Atoms (fractional coordinates):
1 Li 0.250 0.250 0.000
2 Li 0.750 0.750 0.000
3 Tl 0.000 0.000 0.000
4 Tl 0.007 0.507 0.191
5 Tl 0.184 0.993 0.500
6 Tl 0.316 0.816 0.809
7 Tl 0.493 0.684 0.500
8 Tl 0.500 0.500 0.000
9 Tl 0.507 0.316 0.500
10 Tl 0.684 0.184 0.191
11 Tl 0.816 0.007 0.500
12 Tl 0.993 0.493 0.809
13 In 0.141 0.359 0.500
14 In 0.359 0.859 0.218
15 In 0.641 0.141 0.782
16 In 0.859 0.641 0.500

# Pm4Te5F

An optimized crystal structure of Pm4Te5F (PBE-GGA, Alexandria).

magnetic moment = 0.00 μB/atom
space group = C2/m
uncorrected formation energy = -1.5690 eV per atom
V = 320.6 Å³ per cell

Unit cell a=10.027 b=10.027 c=7.834 alpha=97.73 beta=97.73 gamma=24.26
Atoms (fractional coordinates):
1 Pm 0.023 0.023 0.223
2 Pm 0.277 0.277 0.773
3 Pm 0.723 0.723 0.227
4 Pm 0.977 0.977 0.777
5 Te 0.142 0.142 0.962
6 Te 0.164 0.164 0.455
7 Te 0.500 0.500 0.500
8 Te 0.836 0.836 0.545
9 Te 0.858 0.858 0.038
10 F 0.500 0.500 0.000

# Rb3HW

An optimized crystal structure of Rb3HW (PBE-GGA, Alexandria).

magnetic moment = 1.20 μB/atom
relative energy among the computed polymorphs = 0 meV per atom
space group = Pm-3m
V = 201.1 Å³ per cell

Unit cell a=5.859 b=5.859 c=5.859 alpha=90.00 beta=90.00 gamma=90.00
Atoms (fractional coordinates):
1 Rb 0.000 0.000 0.500
2 Rb 0.000 0.500 0.000
3 Rb 0.500 0.000 0.000
4 H 0.000 0.000 0.000
5 W 0.500 0.500 0.500

# La6Co2AuCl3

An optimized crystal structure of La6Co2AuCl3 (PBE-GGA, Alexandria).

magnetic moment = 0.00 μB/atom
space group = C2/m
uncorrected formation energy = -1.0043 eV per atom
V = 342.5 Å³ per cell

Unit cell a=9.742 b=9.742 c=9.080 alpha=108.84 beta=108.84 gamma=24.91
Atoms (fractional coordinates):
1 La 0.023 0.023 0.255
2 La 0.316 0.316 0.437
3 La 0.335 0.335 0.880
4 La 0.665 0.665 0.120
5 La 0.684 0.684 0.563
6 La 0.977 0.977 0.745
7 Co 0.167 0.167 0.336
8 Co 0.833 0.833 0.664
9 Au 0.500 0.500 0.000
10 Cl 0.167 0.167 0.836
11 Cl 0.500 0.500 0.500
12 Cl 0.833 0.833 0.164

# Pm8Tl4CS3

An optimized crystal structure of Pm8Tl4CS3 (PBE-GGA, Alexandria).

magnetic moment = 0.00 μB/atom
space group = C2/m
uncorrected formation energy = -0.9756 eV per atom
V = 434.2 Å³ per cell

Unit cell a=7.888 b=7.888 c=9.241 alpha=115.15 beta=115.15 gamma=60.10
Atoms (fractional coordinates):
1 Pm 0.217 0.217 0.690
2 Pm 0.217 0.756 0.690
3 Pm 0.244 0.783 0.310
4 Pm 0.265 0.265 0.295
5 Pm 0.735 0.735 0.705
6 Pm 0.756 0.217 0.690
7 Pm 0.783 0.244 0.310
8 Pm 0.783 0.783 0.310
9 Tl 0.000 0.000 0.000
10 Tl 0.000 0.500 0.000
11 Tl 0.500 0.000 0.000
12 Tl 0.500 0.500 0.000
13 C 0.000 0.000 0.500
14 S 0.000 0.500 0.500
15 S 0.500 0.000 0.500
16 S 0.500 0.500 0.500

# ZrSc2TcO

An optimized crystal structure of ZrSc2TcO (PBE-GGA, Alexandria).

magnetic moment = 0.00 μB/atom
relative energy among the computed polymorphs = 0 meV per atom
space group = P4/mmm
uncorrected formation energy = -1.1851 eV per atom
V = 83.2 Å³ per cell

Unit cell a=4.243 b=4.243 c=4.622 alpha=90.00 beta=90.00 gamma=90.00
Atoms (fractional coordinates):
1 Zr 0.000 0.000 0.000
2 Sc 0.000 0.500 0.500
3 Sc 0.500 0.000 0.500
4 Tc 0.500 0.500 0.000
5 O 0.000 0.000 0.500

# NbTc2Hg2

An optimized crystal structure of NbTc2Hg2 (PBE-GGA, Alexandria).

magnetic moment = 0.00 μB/atom
relative energy among the computed polymorphs = 50 meV per atom
space group = I4/mmm
V = 97.5 Å³ per cell
E_form = 0.774 eV per atom

Unit cell a=8.463 b=8.463 c=8.463 alpha=156.34 beta=156.34 gamma=33.71
Atoms (fractional coordinates):
1 Nb 0.000 0.000 0.000
2 Tc 0.250 0.750 0.500
3 Tc 0.750 0.250 0.500
4 Hg 0.394 0.394 0.000
5 Hg 0.606 0.606 0.000

# ZrReTe2As

An optimized crystal structure of ZrReTe2As (PBE-GGA, Alexandria).

magnetic moment = 0.58 μB/atom
space group = P4/mmm
uncorrected formation energy = 1.3914 eV per atom
V = 142.0 Å³ per cell

Unit cell a=5.307 b=5.307 c=5.040 alpha=90.00 beta=90.00 gamma=90.00
Atoms (fractional coordinates):
1 Zr 0.000 0.000 0.000
2 Re 0.500 0.500 0.000
3 Te 0.000 0.500 0.500
4 Te 0.500 0.000 0.500
5 As 0.000 0.000 0.500

# Pa4MnTe2Se

An optimized crystal structure of Pa4MnTe2Se (PBE-GGA, Alexandria).

magnetic moment = 0.00 μB/atom
space group = P2/m
uncorrected formation energy = -0.6510 eV per atom
V = 205.8 Å³ per cell

Unit cell a=7.245 b=3.951 c=7.538 alpha=90.00 beta=107.50 gamma=90.00
Atoms (fractional coordinates):
1 Pa 0.209 0.000 0.195
2 Pa 0.245 0.500 0.787
3 Pa 0.755 0.500 0.213
4 Pa 0.791 0.000 0.805
5 Mn 0.000 0.500 0.000
6 Te 0.000 0.000 0.500
7 Te 0.500 0.500 0.500
8 Se 0.500 0.000 0.000